1.
# Mo2RuPt

A geometry-optimized Mo2RuPt structure (GGA-PBE, Alexandria via LeMat-Bulk).

Calculated values
V (Å³ per atom): 22.59
E_form (eV per atom): 1.1613

Geometry as CIF:
```
data_Mo2RuPt
_cell_length_a 5.6696
_cell_length_b 5.6696
_cell_length_c 11.2468
_cell_angle_alpha 90.00
_cell_angle_beta 90.00
_cell_angle_gamma 90.00
_space_group_name_H-M_alt 'I -4 2 d'
_space_group_IT_number 122
_space_group_name_Hall 'I -4 2bw'
loop_
_atom_site_label
_atom_site_type_symbol
_atom_site_fract_x
_atom_site_fract_y
_atom_site_fract_z
_atom_site_occupancy
Mo1 Mo 0.2405 0.2500 0.1250 1
Ru1 Ru 0.0000 0.0000 0.0000 1
Pt1 Pt 0.0000 0.0000 0.5000 1
```



2.
# Pr2DyEr

A geometry-optimized Pr2DyEr structure (GGA-PBE, Alexandria via LeMat-Bulk).

Calculated values
V (Å³ per atom): 33.50
E_form (eV per atom): 0.0216

Geometry as CIF:
```
data_Pr2DyEr
_cell_length_a 3.6366
_cell_length_b 3.6366
_cell_length_c 10.1333
_cell_angle_alpha 90.00
_cell_angle_beta 90.00
_cell_angle_gamma 90.00
_space_group_name_H-M_alt 'P 4/m m m'
_space_group_IT_number 123
_space_group_name_Hall '-P 4 2'
loop_
_atom_site_label
_atom_site_type_symbol
_atom_site_fract_x
_atom_site_fract_y
_atom_site_fract_z
_atom_site_occupancy
Pr1 Pr 0.0000 0.0000 0.2488 1
Dy1 Dy 0.5000 0.5000 0.5000 1
Er1 Er 0.5000 0.5000 0.0000 1
```



D(E_F) per entry: 1.54 1.49 states/eV/atom